[1]
Crystalline Rb2ErHgCl6 at its relaxed geometry. Source: Alexandria, functional PBE.

The structure in POSCAR format:
```
Rb2ErHgCl6
1.0
7.6330 0.0000 0.0000
0.0000 11.0631 0.0000
0.0000 0.0000 8.1965
Rb Er Hg Cl
4 2 2 12
Direct
0.2500 0.0282 0.2025 Rb
0.2500 0.4718 0.2025 Rb
0.7500 0.5282 0.7975 Rb
0.7500 0.9718 0.7975 Rb
0.2500 0.7500 0.7768 Er
0.7500 0.2500 0.2232 Er
0.2500 0.2500 0.7149 Hg
0.7500 0.7500 0.2851 Hg
0.0025 0.2500 0.4366 Cl
0.0110 0.7500 0.0076 Cl
0.2500 0.5136 0.7860 Cl
0.2500 0.9864 0.7860 Cl
0.4890 0.7500 0.0076 Cl
0.4975 0.2500 0.4366 Cl
0.5025 0.7500 0.5634 Cl
0.5110 0.2500 0.9924 Cl
0.7500 0.0136 0.2140 Cl
0.7500 0.4864 0.2140 Cl
0.9890 0.2500 0.9924 Cl
0.9975 0.7500 0.5634 Cl
```

Computed properties:
M_tot in μB/atom: 0.018
Formation energy without anion corrections in eV per atom: -1.724
Volume in Å³/f.u.: 346.1
Density of states at the Fermi level in states/eV per cell: 9.56

[2]
Crystalline SrLi2Fe at its relaxed geometry. Source: Alexandria, functional PBE.

The structure in POSCAR format:
```
SrLi2Fe
1.0
-1.9410 2.5681 4.6981
1.9410 -2.5681 4.6981
1.9410 2.5681 -4.6981
Sr Li Fe
1 2 1
Direct
0.0000 0.0000 0.0000 Sr
0.4650 0.4650 0.0000 Li
0.7169 0.2169 0.5000 Li
0.2664 0.7664 0.5000 Fe
```

Computed properties:
M_tot in μB/atom: 0.620
Formation energy in eV/atom: 0.526
Volume in Å³/f.u.: 93.7
Density of states at the Fermi level in states/eV per cell: 5.00

[3]
Crystalline CeSm2F11 at its relaxed geometry. Source: Alexandria, functional PBE.

The structure in POSCAR format:
```
CeSm2F11
1.0
-4.2694 5.2066 5.6455
4.2694 -5.2066 5.6455
4.2694 5.2066 -5.6455
Ce Sm F
2 4 22
Direct
0.2500 0.2500 0.0000 Ce
0.7500 0.7500 0.0000 Ce
0.1908 0.6624 0.8532 Sm
0.3092 0.1624 0.4716 Sm
0.6908 0.8376 0.5284 Sm
0.8092 0.3376 0.1468 Sm
0.0000 0.5000 0.5000 F
0.0242 0.9538 0.2655 F
0.0596 0.3373 0.1249 F
0.1877 0.3914 0.5791 F
0.1883 0.4538 0.9295 F
0.2124 0.9347 0.8751 F
0.2876 0.1627 0.7223 F
0.3117 0.2412 0.2655 F
0.3123 0.8914 0.2037 F
0.4404 0.5653 0.2777 F
0.4758 0.7412 0.9295 F
0.5000 0.0000 0.5000 F
0.5242 0.2588 0.0705 F
0.5596 0.4347 0.7223 F
0.6877 0.1086 0.7963 F
0.6883 0.7588 0.7345 F
0.7124 0.8373 0.2777 F
0.7876 0.0653 0.1249 F
0.8117 0.5462 0.0705 F
0.8123 0.6086 0.4209 F
0.9404 0.6627 0.8751 F
0.9758 0.0462 0.7345 F
```

Computed properties:
M_tot in μB/atom: 0.078
Formation energy without anion corrections in eV per atom: -3.626
Volume in Å³/f.u.: 251.0
Density of states at the Fermi level in states/eV per cell: 0.15

[4]
Crystalline NpSc3S4 at its relaxed geometry. Source: Alexandria, functional PBE.

The structure in POSCAR format:
```
NpSc3S4
1.0
1.8711 1.0803 12.2359
-1.8711 1.0803 12.2359
0.0000 -2.1605 12.2359
Np Sc S
1 3 4
Direct
0.0000 0.0000 0.0000 Np
0.2491 0.2491 0.2491 Sc
0.5000 0.5000 0.5000 Sc
0.7509 0.7509 0.7509 Sc
0.1262 0.1262 0.1262 S
0.3789 0.3789 0.3789 S
0.6211 0.6211 0.6211 S
0.8738 0.8738 0.8738 S
```

Computed properties:
M_tot in μB/atom: 0.521
Formation energy without anion corrections in eV per atom: -1.751
Volume in Å³/f.u.: 148.4
Density of states at the Fermi level in states/eV per cell: 9.34

[5]
Crystalline NdSBrO4 at its relaxed geometry. Source: Alexandria, functional PBE.

The structure in POSCAR format:
```
NdSBrO4
1.0
5.1040 -3.5647 0.0000
5.1040 3.5647 0.0000
-1.5371 0.0000 6.4973
Nd S Br O
2 2 2 8
Direct
0.2370 0.2370 0.1469 Nd
0.7630 0.7630 0.8531 Nd
0.3652 0.3652 0.7402 S
0.6348 0.6348 0.2598 S
0.0258 0.0258 0.7554 Br
0.9742 0.9742 0.2446 Br
0.1541 0.4853 0.8503 O
0.2956 0.2956 0.5218 O
0.4853 0.1541 0.8503 O
0.4888 0.4888 0.2335 O
0.5112 0.5112 0.7665 O
0.5147 0.8459 0.1497 O
0.7044 0.7044 0.4782 O
0.8459 0.5147 0.1497 O
```

Computed properties:
M_tot in μB/atom: 0.000
Formation energy without anion corrections in eV per atom: -2.048
Volume in Å³/f.u.: 118.2
Density of states at the Fermi level in states/eV per cell: 0.00

[6]
Crystalline Cs3Sm3GeS8 at its relaxed geometry. Source: Alexandria, functional PBE.

The structure in POSCAR format:
```
Cs3Sm3GeS8
1.0
4.0555 2.3415 8.2607
-4.0555 2.3415 8.2607
0.0000 -4.6829 8.2607
Cs Sm Ge S
3 3 1 8
Direct
0.0000 0.5000 0.5000 Cs
0.5000 0.0000 0.5000 Cs
0.5000 0.5000 0.0000 Cs
0.0000 0.0000 0.5000 Sm
0.0000 0.5000 0.0000 Sm
0.5000 0.0000 0.0000 Sm
0.5000 0.5000 0.5000 Ge
0.2280 0.2280 0.2280 S
0.2585 0.7060 0.7060 S
0.2940 0.2940 0.7415 S
0.2940 0.7415 0.2940 S
0.7060 0.2585 0.7060 S
0.7060 0.7060 0.2585 S
0.7415 0.2940 0.2940 S
0.7720 0.7720 0.7720 S
```

Computed properties:
M_tot in μB/atom: 0.000
Formation energy without anion corrections in eV per atom: -1.435
Volume in Å³/f.u.: 470.7
Density of states at the Fermi level in states/eV per cell: 2.35

[7]
Crystalline PmEuDyAg at its relaxed geometry. Source: Alexandria, functional PBE.

The structure in POSCAR format:
```
PmEuDyAg
1.0
0.0000 3.8648 3.8648
3.8648 0.0000 3.8648
3.8648 3.8648 0.0000
Pm Eu Dy Ag
1 1 1 1
Direct
0.0000 0.0000 0.0000 Pm
0.2500 0.2500 0.2500 Eu
0.5000 0.5000 0.5000 Dy
0.7500 0.7500 0.7500 Ag
```

Computed properties:
M_tot in μB/atom: 1.936
Formation energy in eV/atom: 0.093
Volume in Å³/f.u.: 115.5
Density of states at the Fermi level in states/eV per cell: 5.41

[8]
Crystalline CuTcHRu2 at its relaxed geometry. Source: Alexandria, functional PBE.

The structure in POSCAR format:
```
CuTcHRu2
1.0
3.8786 0.0000 0.0000
0.0000 3.8786 0.0000
0.0000 0.0000 3.8380
Cu Tc H Ru
1 1 1 2
Direct
0.0000 0.0000 0.0000 Cu
0.5000 0.5000 0.0000 Tc
0.5000 0.5000 0.5000 H
0.0000 0.5000 0.5000 Ru
0.5000 0.0000 0.5000 Ru
```

Computed properties:
M_tot in μB/atom: 0.011
Volume in Å³/f.u.: 57.7
Total DFT energy (no corrections) in eV/atom: -6.977
Density of states at the Fermi level in states/eV per cell: 6.89

[9]
Crystalline La2AlI at its relaxed geometry. Source: Alexandria, functional PBE.

The structure in POSCAR format:
```
La2AlI
1.0
-3.3439 3.3439 8.0609
3.3439 -3.3439 8.0609
3.3439 3.3439 -8.0609
La Al I
4 2 2
Direct
0.0913 0.6250 0.9663 La
0.3750 0.3413 0.4663 La
0.6587 0.1250 0.0337 La
0.8750 0.9087 0.5337 La
0.0000 0.0000 0.0000 Al
0.7500 0.2500 0.5000 Al
0.2500 0.7500 0.5000 I
0.5000 0.5000 0.0000 I
```

Computed properties:
M_tot in μB/atom: 0.000
Formation energy without anion corrections in eV per atom: -0.094
Volume in Å³/f.u.: 180.3
Density of states at the Fermi level in states/eV per cell: 4.49

[10]
Crystalline GaAg2BiSe4 at its relaxed geometry. Source: Alexandria, functional PBE.

The structure in POSCAR format:
```
GaAg2BiSe4
1.0
5.6886 -5.7276 0.0000
5.6886 5.7276 0.0000
-5.6364 0.0000 5.7770
Ga Ag Bi Se
2 4 2 8
Direct
0.0000 0.0000 0.0000 Ga
0.0000 0.0000 0.5000 Ga
0.0000 0.5000 0.0000 Ag
0.5000 0.0000 0.5000 Ag
0.5000 0.5000 0.0000 Ag
0.5000 0.5000 0.5000 Ag
0.0000 0.5000 0.5000 Bi
0.5000 0.0000 0.0000 Bi
0.2288 0.7684 0.0095 Se
0.2316 0.7712 0.4905 Se
0.2335 0.2461 0.9527 Se
0.2461 0.2335 0.4527 Se
0.7539 0.7665 0.5473 Se
0.7665 0.7539 0.0473 Se
0.7684 0.2288 0.5095 Se
0.7712 0.2316 0.9905 Se
```

Computed properties:
M_tot in μB/atom: 0.000
Formation energy without anion corrections in eV per atom: -0.249
Volume in Å³/f.u.: 188.2
Density of states at the Fermi level in states/eV per cell: 2.05

[11]
Crystalline ZrTi2Al2 at its relaxed geometry. Source: Alexandria, functional PBE.

The structure in POSCAR format:
```
ZrTi2Al2
1.0
-2.0020 2.0020 5.8772
2.0020 -2.0020 5.8772
2.0020 2.0020 -5.8772
Zr Ti Al
1 2 2
Direct
0.0000 0.0000 0.0000 Zr
0.4040 0.4040 0.0000 Ti
0.5960 0.5960 0.0000 Ti
0.2500 0.7500 0.5000 Al
0.7500 0.2500 0.5000 Al
```

Computed properties:
M_tot in μB/atom: 0.000
Formation energy in eV/atom: 0.131
Volume in Å³/f.u.: 94.2
Density of states at the Fermi level in states/eV per cell: 5.25

[12]
Crystalline Tb5As2S2 at its relaxed geometry. Source: Alexandria, functional PBE.

The structure in POSCAR format:
```
Tb5As2S2
1.0
7.1186 -3.7591 0.0000
7.1186 3.7591 0.0000
0.0000 0.0000 7.6288
Tb As S
10 4 4
Direct
0.0000 0.0000 0.0000 Tb
0.0211 0.6988 0.6522 Tb
0.1988 0.5211 0.1522 Tb
0.3012 0.9789 0.6522 Tb
0.4789 0.8012 0.1522 Tb
0.5000 0.5000 0.5000 Tb
0.5211 0.1988 0.8478 Tb
0.6988 0.0211 0.3478 Tb
0.8012 0.4789 0.8478 Tb
0.9789 0.3012 0.3478 Tb
0.1449 0.8551 0.3549 As
0.3551 0.6449 0.8549 As
0.6449 0.3551 0.1451 As
0.8551 0.1449 0.6451 As
0.1940 0.1940 0.0000 S
0.3060 0.3060 0.5000 S
0.6940 0.6940 0.5000 S
0.8060 0.8060 0.0000 S
```

Computed properties:
M_tot in μB/atom: 0.000
Formation energy without anion corrections in eV per atom: -1.402
Volume in Å³/f.u.: 204.1
Density of states at the Fermi level in states/eV per cell: 13.97